(1)
A plane-wave DFT calculation with GGA-PBE was carried out for an optimized crystal structure of Mg.

Cell: 3.059 5.110 15.254 Å, 90.00 90.00 90.00°
Atoms (fractional coordinates):
Mg 0.500 0.258 0.691
Mg 0.000 0.742 0.809
Mg 0.000 0.260 0.500
Mg 0.500 0.740 0.000
Mg 0.500 0.258 0.309
Mg 0.000 0.759 0.607
Mg 0.500 0.241 0.893
Mg 0.000 0.759 0.393
Mg 0.000 0.742 0.191
Mg 0.500 0.241 0.107

relative energy among the computed polymorphs	82	meV per atom
energy relative to the elements	0.08	eV per atom

(2)
A plane-wave DFT calculation with GGA-PBE was carried out for an optimized crystal structure of NaZr2Rh.

Cell: 4.794 4.794 4.794 Å, 60.00 60.00 60.00°
Atoms (fractional coordinates):
Na 0.000 0.000 0.000
Rh 0.500 0.500 0.500
Zr 0.250 0.250 0.250
Zr 0.750 0.750 0.750

relative energy among the computed polymorphs	0	meV per atom
energy relative to the elements	0.04	eV per atom

(3)
A plane-wave DFT calculation with GGA-PBE was carried out for an optimized crystal structure of LiMnSe2I.

Cell: 4.636 9.254 4.636 Å, 90.00 90.00 90.00°
Atoms (fractional coordinates):
Mn 0.000 0.000 0.000
Se 0.500 0.000 0.000
I 0.500 0.500 0.500
Se 0.000 0.000 0.500
Li 0.000 0.500 0.000

energy relative to the elements, uncorrected	-205	meV/atom

(4)
A plane-wave DFT calculation with GGA-PBE was carried out for an optimized crystal structure of LiMg2Sn.

Cell: 3.224 3.224 10.831 Å, 81.44 81.44 60.00°
Atoms (fractional coordinates):
Mg 0.093 0.093 0.722
Mg 0.907 0.907 0.278
Li 0.500 0.500 0.500
Sn 0.000 0.000 0.000

energy relative to the elements	0.04	eV per atom

(5)
A plane-wave DFT calculation with GGA-PBE was carried out for an optimized crystal structure of PmNiBr6.

Cell: 6.694 6.693 7.264 Å, 62.56 62.47 59.90°
Atoms (fractional coordinates):
Pm 0.500 0.500 0.500
Br 0.935 0.612 0.233
Br 0.612 0.221 0.232
Br 0.065 0.388 0.767
Br 0.221 0.935 0.233
Br 0.779 0.065 0.767
Ni 0.000 0.000 0.000
Br 0.388 0.779 0.768

energy relative to the elements, uncorrected	-916	meV/atom

(6)
A plane-wave DFT calculation with GGA-PBE was carried out for an optimized crystal structure of Li3Sc3TaS8.

Cell: 7.274 7.274 7.453 Å, 119.22 90.00 120.00°
Atoms (fractional coordinates):
S 0.240 0.996 0.736
Li 0.000 0.500 0.000
S 0.240 0.480 0.736
Sc 0.000 0.500 0.500
Ta 0.000 0.000 0.500
S 0.757 0.996 0.736
Sc 0.500 0.000 0.500
S 0.243 0.004 0.264
S 0.760 0.520 0.264
S 0.748 0.495 0.743
S 0.760 0.004 0.264
Li 0.000 0.000 0.000
Li 0.500 0.500 0.000
Sc 0.500 0.500 0.500
S 0.252 0.505 0.257

energy relative to the elements, uncorrected	-1589	meV/atom